The following is a GGA-PBE calculation of an optimized crystal structure of LiScC, from Alexandria via LeMat-Bulk.

Computed properties:
N(E_F) ... 1.50 states/eV per cell
Energy of formation from the pure elements ... -0.145 eV per atom
Polymorph energy (0 for the lowest one) ... 120.3 meV per atom

Geometry as extended XYZ:
```
6
Lattice="4.024 0.000 0.000 -1.187 4.032 0.000 -1.235 -1.983 5.611" Properties=species:S:1:pos:R:3 pbc="T T T"
Li -0.339 0.296 2.176
Li 1.940 1.754 3.434
Sc 0.415 2.748 0.836
Sc 1.187 -0.699 4.775
C 0.295 0.630 0.146
C 1.307 1.420 5.465
```